Entry 1:
Compound: BeTl3Mo
Source: Alexandria via LeMat-Bulk
Functional: PBE
Structure: optimized geometry

Summary:
The magnetization is 0.26 μB per atom. The value obtained for the total energy is -3.139 eV per atom. Its energy above the most stable polymorph in this dataset is 126 meV per atom.

Cell and atoms, written as extended XYZ:
```
5
Lattice="5.437 0.000 0.000 0.000 5.437 0.000 0.000 0.000 5.437" Properties=species:S:1:pos:R:3 pbc="T T T"
Tl 2.719 0.000 0.000
Tl 0.000 0.000 2.719
Tl 0.000 2.719 0.000
Mo 0.000 0.000 0.000
Be 2.719 2.719 2.719
```

Entry 2:
Compound: BeTl2Mo
Source: Alexandria via LeMat-Bulk
Functional: PBE
Structure: optimized geometry

Summary:
The magnetization is 0.00 μB per atom. The value obtained for the total energy is -3.992 eV per atom. Its energy above the most stable polymorph in this dataset is 266 meV per atom.

Cell and atoms, written as extended XYZ:
```
4
Lattice="-4.275 0.229 3.206 -4.731 -0.103 -2.492 4.476 -2.921 -0.189" Properties=species:S:1:pos:R:3 pbc="T T T"
Mo -2.151 -1.314 1.687
Tl -0.001 0.000 0.000
Tl -4.502 0.063 0.357
Be -2.379 -1.481 -1.162
```

Entry 3:
Compound: BeTl2Mo
Source: Alexandria via LeMat-Bulk
Functional: PBE
Structure: optimized geometry

Summary:
The magnetization is 0.00 μB per atom. The value obtained for the total energy is -3.909 eV per atom. Its energy above the most stable polymorph in this dataset is 349 meV per atom.

Cell and atoms, written as extended XYZ:
```
4
Lattice="5.735 -0.010 0.015 -2.389 5.214 0.015 0.852 1.325 2.642" Properties=species:S:1:pos:R:3 pbc="T T T"
Mo -0.768 3.269 1.329
Tl 0.000 0.000 0.000
Tl 1.673 2.602 0.015
Be 3.294 0.658 1.329
```

Entry 4:
Compound: BeTl2Mo
Source: Alexandria via LeMat-Bulk
Functional: PBE
Structure: optimized geometry

Summary:
The magnetization is 0.00 μB per atom. The value obtained for the total energy is -3.842 eV per atom. Its energy above the most stable polymorph in this dataset is 417 meV per atom.

Cell and atoms, written as extended XYZ:
```
8
Lattice="7.355 0.000 0.000 0.000 7.355 0.000 3.677 3.677 2.826" Properties=species:S:1:pos:R:3 pbc="T T T"
Tl 5.516 5.848 2.120
Tl 5.185 1.839 0.707
Tl 2.170 5.516 0.707
Tl 9.193 8.862 2.120
Mo 0.000 0.000 0.000
Mo 7.355 3.677 1.413
Be 3.677 3.677 0.000
Be 3.677 7.355 1.413
```

Entry 5:
Compound: BeTlMo3
Source: Alexandria via LeMat-Bulk
Functional: PBE
Structure: optimized geometry

Summary:
The magnetization is 0.00 μB per atom. The value obtained for the total energy is -6.912 eV per atom. Its energy above the most stable polymorph in this dataset is 0 meV per atom.

Cell and atoms, written as extended XYZ:
```
5
Lattice="4.330 0.000 0.000 0.000 4.330 0.000 0.000 0.000 4.330" Properties=species:S:1:pos:R:3 pbc="T T T"
Mo 0.000 2.165 0.000
Mo 0.000 0.000 2.165
Mo 2.165 0.000 0.000
Be 0.000 0.000 0.000
Tl 2.165 2.165 2.165
```

Entry 6:
Compound: Be2TlMo
Source: Alexandria via LeMat-Bulk
Functional: PBE
Structure: optimized geometry

Summary:
The magnetization is 0.00 μB per atom. The value obtained for the total energy is -4.699 eV per atom. Its energy above the most stable polymorph in this dataset is 58 meV per atom.

Cell and atoms, written as extended XYZ:
```
4
Lattice="-3.935 -3.119 -1.590 -2.701 -3.164 3.230 1.674 4.972 -0.455" Properties=species:S:1:pos:R:3 pbc="T T T"
Tl -2.047 -0.548 1.767
Mo -3.257 -3.083 0.805
Be -6.476 -6.131 1.600
Be -3.135 -0.971 -0.527
```

Entry 7:
Compound: BeTl2Mo
Source: Alexandria via LeMat-Bulk
Functional: PBE
Structure: optimized geometry

Summary:
The magnetization is 0.00 μB per atom. The value obtained for the total energy is -3.946 eV per atom. Its energy above the most stable polymorph in this dataset is 313 meV per atom.

Cell and atoms, written as extended XYZ:
```
4
Lattice="3.583 0.000 0.000 0.000 3.592 0.000 0.000 0.000 5.824" Properties=species:S:1:pos:R:3 pbc="T T T"
Mo 1.791 1.796 4.368
Tl 0.000 0.000 2.883
Tl 0.000 0.000 0.029
Be 1.791 1.796 1.456
```

Entry 8:
Compound: Be2TlMo
Source: Alexandria via LeMat-Bulk
Functional: PBE
Structure: optimized geometry

Summary:
The magnetization is 0.00 μB per atom. The value obtained for the total energy is -4.757 eV per atom. Its energy above the most stable polymorph in this dataset is 0 meV per atom.

Cell and atoms, written as extended XYZ:
```
4
Lattice="-3.181 -0.063 -0.353 0.141 -3.120 -0.701 -0.602 -1.300 5.663" Properties=species:S:1:pos:R:3 pbc="T T T"
Mo -1.671 -1.917 0.889
Tl -1.971 -2.567 3.721
Be -0.255 -0.550 2.397
Be -0.046 -0.100 0.435
```